# AcTb3Mg8, relaxed, DFT PBE
data_AcTb3Mg8
_chemical_formula_sum 'Ac1 Tb3 Mg8'
_cell_length_a 6.1460
_cell_length_b 6.1460
_cell_length_c 9.9414
_cell_angle_alpha 90.00
_cell_angle_beta 90.00
_cell_angle_gamma 120.00
_symmetry_space_group_name_H-M 'P 3 m 1'
_symmetry_Int_Tables_number 156
loop_
_symmetry_equiv_pos_as_xyz
'x,y,z'
'-y,x-y,z'
'-x+y,-x,z'
'-y,-x,z'
'-x+y,y,z'
'x,x-y,z'
loop_
_atom_site_label
_atom_site_type_symbol
_atom_site_fract_x
_atom_site_fract_y
_atom_site_fract_z
_atom_site_occupancy
Ac1 Ac 0.0000 0.0000 0.0000 1
Tb1 Tb 0.0000 0.0000 0.3801 1
Tb2 Tb 0.6667 0.3333 0.4949 1
Tb3 Tb 0.6667 0.3333 0.8597 1
Mg1 Mg 0.1639 0.3279 0.6794 1
Mg2 Mg 0.3333 0.6667 0.4337 1
Mg3 Mg 0.3333 0.6667 0.9328 1
Mg4 Mg 0.5043 0.0087 0.1898 1
# Energy of formation from the pure elements: -0.077 eV/atom
# DOS at the Fermi energy: 13.1 states/eV/f.u.